[1]
DFT (GGA-PBEsol) results for a geometry-optimized ZnTeMoN2 structure.

abc: 3.870 3.870 5.631
angles: 90.00 90.00 90.00
Space group P4/mmm (No. 123)
Unique sites:
Zn1 0.000 0.000 0.000 x1
Te1 0.500 0.500 0.000 x1
Mo1 0.500 0.500 0.500 x1
N1 0.000 0.500 0.500 x2

Values from the calculation:
Formation energy from raw total energies (eV per atom): 0.317
Fermi-level density of states (states/eV per cell): 2.15



[2]
DFT (GGA-PBEsol) results for a geometry-optimized InHgSb2 structure.

abc: 3.910 5.077 10.226
angles: 90.00 90.00 90.00
Space group Cmmm (No. 65)
Unique sites:
In1 0.000 0.000 0.000 x2
Hg1 0.000 0.000 0.500 x2
Sb1 0.000 0.500 0.254 x4

Values from the calculation:
Formation energy from raw total energies (eV per atom): 0.103
Fermi-level density of states (states/eV per cell): 3.79
ΔE to the lowest computed polymorph (eV/atom): 0.015



[3]
DFT (GGA-PBEsol) results for a geometry-optimized TeRh2 structure.

abc: 3.244 3.244 9.192
angles: 90.00 90.00 90.00
Space group I4/mmm (No. 139)
Unique sites:
Te1 0.000 0.000 0.000 x2
Rh1 0.000 0.000 0.342 x4

Values from the calculation:
Formation energy from raw total energies (eV per atom): 0.107
Fermi-level density of states (states/eV per cell): 9.37
ΔE to the lowest computed polymorph (eV/atom): 0.271



[4]
DFT (GGA-PBEsol) results for a geometry-optimized CrO2 structure.

abc: 9.066 2.877 4.698
angles: 90.00 90.00 90.00
Space group Pnma (No. 62)
Unique sites:
Cr1 0.139 0.250 0.042 x4
O1 0.031 0.750 0.202 x4
O2 0.228 0.750 0.839 x4

Values from the calculation:
Formation energy from raw total energies (eV per atom): -1.861
Fermi-level density of states (states/eV per cell): 3.76



[5]
DFT (GGA-PBEsol) results for a geometry-optimized CaTl2Pb structure.

abc: 6.714 11.834 3.633
angles: 90.00 120.76 90.00
Space group C2/m (No. 12)
Unique sites:
Ca1 0.000 0.000 0.000 x2
Tl1 0.250 0.250 0.500 x4
Pb1 0.000 0.500 0.000 x2

Values from the calculation:
Fermi-level density of states (states/eV per cell): 4.94
Formation enthalpy at 0 K (eV per atom): -0.206



[6]
DFT (GGA-PBEsol) results for a geometry-optimized HfFeSb structure.

abc: 6.752 4.148 7.308
angles: 90.00 90.00 90.00
Space group Pnma (No. 62)
Unique sites:
Hf1 0.004 0.250 0.217 x4
Fe1 0.133 0.250 0.572 x4
Sb1 0.238 0.750 0.401 x4

Values from the calculation:
Formation energy from raw total energies (eV per atom): -0.403
Fermi-level density of states (states/eV per cell): 8.95



[7]
DFT (GGA-PBEsol) results for a geometry-optimized Al2ReHg2 structure.

abc: 3.630 3.630 14.687
angles: 90.00 90.00 90.00
Space group I4/mmm (No. 139)
Unique sites:
Al1 0.000 0.000 0.084 x4
Re1 0.000 0.000 0.500 x2
Hg1 0.000 0.500 0.250 x4

Values from the calculation:
Fermi-level density of states (states/eV per cell): 5.64
Formation enthalpy at 0 K (eV per atom): 0.757



[8]
DFT (GGA-PBEsol) results for a geometry-optimized YGe2Rh2 structure.

abc: 4.073 4.073 10.245
angles: 90.00 90.00 90.00
Space group I4/mmm (No. 139)
Unique sites:
Y1 0.000 0.000 0.000 x2
Ge1 0.000 0.000 0.379 x4
Rh1 0.000 0.500 0.250 x4

Values from the calculation:
Fermi-level density of states (states/eV per cell): 4.66
Formation enthalpy at 0 K (eV per atom): -0.931



[9]
DFT (GGA-PBEsol) results for a geometry-optimized SrOsNF2 structure.

abc: 4.471 4.471 3.743
angles: 90.00 90.00 90.00
Space group P4/mmm (No. 123)
Unique sites:
Sr1 0.000 0.000 0.000 x1
Os1 0.500 0.500 0.500 x1
N1 0.500 0.500 0.000 x1
F1 0.000 0.500 0.500 x2

Values from the calculation:
Formation energy from raw total energies (eV per atom): -1.194
Fermi-level density of states (states/eV per cell): 1.93



[10]
DFT (GGA-PBEsol) results for a geometry-optimized Ga3BiRu structure.

abc: 4.767 4.767 4.767
angles: 90.00 90.00 90.00
Space group Pm-3m (No. 221)
Unique sites:
Ga1 0.000 0.000 0.500 x3
Bi1 0.500 0.500 0.500 x1
Ru1 0.000 0.000 0.000 x1

Values from the calculation:
Fermi-level density of states (states/eV per cell): 6.57
Formation enthalpy at 0 K (eV per atom): 0.182



[11]
DFT (GGA-PBEsol) results for a geometry-optimized Li2AlTeRh structure.

abc: 4.851 4.851 4.904
angles: 90.00 90.00 90.00
Space group P4/mmm (No. 123)
Unique sites:
Li1 0.000 0.500 0.000 x2
Al1 0.000 0.000 0.500 x1
Te1 0.500 0.500 0.000 x1
Rh1 0.500 0.500 0.500 x1

Values from the calculation:
Formation energy from raw total energies (eV per atom): 0.243
Fermi-level density of states (states/eV per cell): 2.73



[12]
DFT (GGA-PBEsol) results for a geometry-optimized Ba2CaP structure.

abc: 5.184 5.184 4.823
angles: 90.00 90.00 90.00
Space group P4/mmm (No. 123)
Unique sites:
Ba1 0.000 0.500 0.000 x2
Ca1 0.000 0.000 0.500 x1
P1 0.500 0.500 0.500 x1

Values from the calculation:
Fermi-level density of states (states/eV per cell): 3.27
Formation enthalpy at 0 K (eV per atom): -0.289